A relaxed structure of MgZnMo3. Source: Alexandria via LeMat-Bulk, functional PBE.

Computed properties:
VASP energy   -5.532 eV/atom
ΔE_f   7.704 eV/f.u.
Theoretical density   6.4 g cm⁻³
V   98.21 Å³/cell
D(E_F)   2.363 states/eV/atom
Excess energy over the best structure of this formula in the dataset   0.000 eV per atom

The structure in CIF format:
```
data_MgZnMo3
_chemical_formula_sum 'Mg1 Zn1 Mo3'
_cell_length_a 4.6137
_cell_length_b 4.6137
_cell_length_c 4.6137
_cell_angle_alpha 90.00
_cell_angle_beta 90.00
_cell_angle_gamma 90.00
_symmetry_space_group_name_H-M 'P m -3 m'
_symmetry_Int_Tables_number 221
_symmetry_space_group_name_Hall '-P 4 2 3'
loop_
_atom_site_label
_atom_site_type_symbol
_atom_site_fract_x
_atom_site_fract_y
_atom_site_fract_z
Mg1 Mg 0.0000 0.0000 0.0000
Zn1 Zn 0.5000 0.5000 0.5000
Mo1 Mo 0.0000 0.5000 0.5000
```